Material: CsS3I
Method: DFT, PBE
State: optimized geometry

POSCAR file:
```
CsS3I
1.0
-3.725 -0.930 -4.485
-4.057 -2.013 3.787
-2.125 5.472 0.631
Cs S I
1 3 1
Cartesian
0.000 0.000 0.000 Cs
-2.029 -1.006 1.894 S
-1.863 -0.465 -2.243 S
-1.063 2.736 0.316 S
-4.954 1.265 -0.033 I
```

Results
As for the uncorrected formation energy: 1269.7 meV per atom. The energy above the most stable polymorph in this dataset is 1718 meV/atom.